No. 1
Cu3BiAs | GGA-PBE | relaxed

Output
Final energy   -3.756 eV/atom
Energy of formation   0.408 eV/atom
Magnetization   0.00 μB per formula unit
Energy above the most stable polymorph in this dataset   0.00 eV/f.u.

Structure (POSCAR):
```
Cu3BiAs
1.0
4.628 0.000 0.000
0.000 4.628 0.000
0.000 0.000 4.628
Cu Bi As
3 1 1
Cartesian
0.000 0.000 2.314
0.000 2.314 0.000
2.314 0.000 0.000
2.314 2.314 2.314
0.000 0.000 0.000
```

***

No. 2
UBeSi | GGA-PBE | relaxed

Output
Formation energy (no corrections)   -257 meV per atom
Final energy   -7.069 eV/atom
Magnetization   0.00 μB per formula unit

Structure (POSCAR):
```
UBeSi
1.0
3.746 0.000 0.000
0.000 3.702 0.000
-0.688 0.000 6.550
U Be Si
2 2 2
Cartesian
0.493 0.926 0.744
2.564 2.777 5.806
0.448 2.777 3.270
2.609 0.926 3.281
0.719 0.926 4.606
2.339 2.777 1.945
```

***

No. 3
TbHoSnRu | GGA-PBE | relaxed

Output
Final energy   -6.121 eV/atom
Energy of formation   -0.499 eV/atom
Magnetization   0.00 μB per formula unit
Energy above the most stable polymorph in this dataset   0.00 eV/f.u.

Structure (POSCAR):
```
TbHoSnRu
1.0
3.657 0.000 0.000
0.000 2.298 5.809
0.000 -2.298 5.809
Tb Ho Sn Ru
1 1 1 1
Cartesian
0.000 0.000 0.000
1.828 0.000 3.493
1.828 0.000 6.922
0.000 0.000 8.928
```

***

No. 4
Ac5CePb3 | GGA-PBE | relaxed

Output
Final energy   -4.495 eV/atom
Energy of formation   -0.317 eV/atom
Magnetization   4.08 μB per formula unit

Structure (POSCAR):
```
Ac5CePb3
1.0
10.342 0.000 0.000
-5.171 8.956 0.000
0.000 0.000 7.205
Ac Ce Pb
10 2 6
Cartesian
-1.680 2.910 1.801
-3.491 6.047 5.404
3.360 0.000 1.801
1.680 2.910 5.404
0.000 5.971 0.000
0.000 5.971 3.603
5.171 2.985 0.000
5.171 2.985 3.603
6.982 0.000 5.404
3.491 6.047 1.801
0.000 0.000 0.000
0.000 0.000 3.603
-1.735 3.006 5.404
-3.435 5.950 1.801
3.471 0.000 5.404
1.735 3.006 1.801
6.871 0.000 1.801
3.435 5.950 5.404
```